Material: AlZn2
Method: DFT, PBEsol
State: optimized geometry

Lattice parameters (Å, degrees): 2.7809 2.7809 12.1516 96.57 96.57 90.00
Last column: nearest neighbours and their distance in Å.
Sites, in units of the cell vectors:
Zn 0.0799 0.0799 0.1598  6 Zn 2.57-2.78, 4 Al 2.75
Zn 0.1701 0.6701 0.3402  6 Zn 2.57-2.78, 4 Al 2.75
Zn 0.9201 0.9201 0.8402  6 Zn 2.57-2.78, 4 Al 2.75
Zn 0.3299 0.8299 0.6598  6 Zn 2.57-2.78, 4 Al 2.75
Al 0.5000 0.5000 0.0000  8 Zn 2.75, 4 Al 2.78
Al 0.7500 0.2500 0.5000  8 Zn 2.75, 4 Al 2.78

Results
Fermi-level density of states, states/eV/atom: 0.277
DFT formation energy, eV per atom: 0.05